Material: TiTlPb3
Method: DFT, GGA-PBE
State: relaxed

abc: 5.4638 5.4638 5.4638
angles: 90.00 90.00 90.00
Element x y z (fractional)
1 Ti 0.0000 0.0000 0.0000
2 Tl 0.5000 0.5000 0.5000
3 Pb 0.0000 0.0000 0.5000
4 Pb 0.0000 0.5000 0.0000
5 Pb 0.5000 0.0000 0.0000

Properties
Density of states at the Fermi level   2.1 states/eV/cell
Spin magnetization   0.00 μB per cell
Energy of formation   15.5 kJ per mole of atoms
E_tot   -4.117 eV/atom
SG   Pm-3m (221)